Here is an optimized crystal structure of La3Nd2Pd2 from the Alexandria database. Energies are from PBE.

```
data_La3Nd2Pd2
_space_group_name_H-M_alt 'C 1 2/m 1'
_space_group_IT_number 12
_cell_length_a 12.653
_cell_length_b 3.961
_cell_length_c 9.311
_cell_angle_alpha 90.00
_cell_angle_beta 114.65
_cell_angle_gamma 90.00
loop_
_space_group_symop_operation_xyz
'x,y,z'
'-x,-y,-z'
'-x,y,-z'
'x,-y,z'
'x+1/2,y+1/2,z'
'-x+1/2,-y+1/2,-z'
'-x+1/2,y+1/2,-z'
'x+1/2,-y+1/2,z'
loop_
_atom_site_label
_atom_site_fract_x
_atom_site_fract_y
_atom_site_fract_z
La1 0.000 0.000 0.000
La2 0.115 0.000 0.442
Nd1 0.161 0.500 0.812
Pd1 0.160 0.500 0.225
```

Output
Fermi-level density of states ... 1.244 states/eV/atom
Total moment ... 0.00 Bohr magnetons per cell
Energy of formation from the pure elements ... -456.9 meV per atom